First-principles (PBE-GGA) data for a relaxed structure of BaAl3Pt3, as listed in the Alexandria database.

The structure belongs to space group R-3 (No. 148, hexagonal axes); the cell edges are 6.8068, 6.8068 and 23.0684 Å and the angles 90.00°, 90.00° and 120.00°. The inequivalent atoms are Ba at (0.0000, 0.0000, 0.1618), Al at (0.0258, 0.6005, 0.3729) and Pt at (0.0112, 0.7650, 0.5979).

The density of states at the Fermi level comes out at 0.350 states/eV per atom.


First-principles (PBE-GGA) data for a relaxed structure of Ba2AlPt, as listed in the Alexandria database.

The structure belongs to space group C2/m (No. 12); the cell edges are 7.766, 4.473 and 9.193 Å and the angles 90.00°, 106.25° and 90.00°. The inequivalent atoms are Ba at (0.236, 0.000, 0.208), Al at (0.000, 0.000, 0.500) and Pt at (0.000, 0.500, 0.000).

The density of states at the Fermi level comes out at 0.842 states/eV per atom.


First-principles (PBE-GGA) data for a relaxed structure of BaAl2Pt2, as listed in the Alexandria database.

The structure belongs to space group P4/mbm (No. 127); the cell edges are 8.129, 8.129 and 2.897 Å and the angles 90.00°, 90.00° and 90.00°. The inequivalent atoms are Ba at (0.000, 0.000, 0.000), Al at (0.119, 0.381, 0.000) and Pt at (0.168, 0.668, 0.500).

The density of states at the Fermi level comes out at 0.336 states/eV per atom.


First-principles (PBE-GGA) data for a relaxed structure of Ba2AlPt, as listed in the Alexandria database.

The structure belongs to space group Pmmm (No. 47); the cell edges are 3.992, 4.055 and 7.907 Å and the angles 90.00°, 90.00° and 90.00°. The inequivalent atoms are Ba at (0.000, 0.000, 0.229), Al at (0.500, 0.500, 0.500) and Pt at (0.500, 0.500, 0.000).

The density of states at the Fermi level comes out at 0.774 states/eV per atom.


First-principles (PBE-GGA) data for a relaxed structure of BaAl4Pt4, as listed in the Alexandria database.

The structure belongs to space group I4/m (No. 87); the cell edges are 8.844, 8.844 and 4.649 Å and the angles 90.00°, 90.00° and 90.00°. The inequivalent atoms are Ba at (0.000, 0.000, 0.000), Al at (0.105, 0.614, 0.500) and Pt at (0.174, 0.313, 0.500).

The density of states at the Fermi level comes out at 0.449 states/eV per atom.


First-principles (PBE-GGA) data for a relaxed structure of Ba2AlPt, as listed in the Alexandria database.

The structure belongs to space group P4mm (No. 99); the cell edges are 3.629, 3.629 and 9.685 Å and the angles 90.00°, 90.00° and 90.00°. The inequivalent atoms are Ba at (0.000, 0.000, 0.000), Ba at (0.500, 0.500, 0.416), Al at (0.500, 0.500, 0.747) and Pt at (0.000, 0.000, 0.657).

The density of states at the Fermi level comes out at 0.649 states/eV per atom.


First-principles (PBE-GGA) data for a relaxed structure of Ba2AlPt, as listed in the Alexandria database.

The structure belongs to space group I-42d (No. 122); the cell edges are 9.009, 9.009 and 6.985 Å and the angles 90.00°, 90.00° and 90.00°. The inequivalent atoms are Ba at (0.199, 0.250, 0.125), Al at (0.000, 0.000, 0.500) and Pt at (0.000, 0.000, 0.000).

The density of states at the Fermi level comes out at 1.052 states/eV per atom.


First-principles (PBE-GGA) data for a relaxed structure of BaAl3Pt2, as listed in the Alexandria database.

The structure belongs to space group C2/m (No. 12); the cell edges are 17.545, 4.267 and 10.443 Å and the angles 90.00°, 99.68° and 90.00°. The inequivalent atoms are Ba at (0.000, 0.000, 0.000), Ba at (0.145, 0.000, 0.720), Al at (0.000, 0.500, 0.500), Al at (0.062, 0.000, 0.360), Al at (0.141, 0.500, 0.222), Al at (0.198, 0.500, 0.998), Al at (0.222, 0.000, 0.401), Pt at (0.001, 0.500, 0.257), Pt at (0.145, 0.500, 0.463) and Pt at (0.197, 0.000, 0.143).

The density of states at the Fermi level comes out at 0.456 states/eV per atom.


First-principles (PBE-GGA) data for a relaxed structure of Ba2AlPt, as listed in the Alexandria database.

The structure belongs to space group Cm (No. 8); the cell edges are 7.744, 4.471 and 9.233 Å and the angles 90.00°, 106.01° and 90.00°. The inequivalent atoms are Ba at (0.000, 0.000, 0.000), Ba at (0.167, 0.000, 0.509), Al at (0.417, 0.000, 0.255) and Pt at (0.250, 0.500, 0.254).

The density of states at the Fermi level comes out at 1.006 states/eV per atom.


First-principles (PBE-GGA) data for a relaxed structure of Ba2AlPt, as listed in the Alexandria database.

The structure belongs to space group I-4m2 (No. 119); the cell edges are 5.385, 5.385 and 7.696 Å and the angles 90.00°, 90.00° and 90.00°. The inequivalent atoms are Ba at (0.000, 0.000, 0.000), Ba at (0.000, 0.500, 0.250), Al at (0.000, 0.000, 0.500) and Pt at (0.000, 0.500, 0.750).

The density of states at the Fermi level comes out at 0.835 states/eV per atom.


First-principles (PBE-GGA) data for a relaxed structure of Ba2Al9Pt3, as listed in the Alexandria database.

The structure belongs to space group C2/c (No. 15); the cell edges are 13.628, 7.820 and 10.958 Å and the angles 90.00°, 114.64° and 90.00°. The inequivalent atoms are Ba at (0.168, 0.083, 0.250), Al at (0.000, 0.381, 0.250), Al at (0.060, 0.089, 0.929), Al at (0.098, 0.417, 0.047), Al at (0.100, 0.321, 0.748), Al at (0.223, 0.420, 0.431), Pt at (0.083, 0.249, 0.500) and Pt at (0.250, 0.250, 0.000).

The density of states at the Fermi level comes out at 0.182 states/eV per atom.


First-principles (PBE-GGA) data for a relaxed structure of Ba2AlPt, as listed in the Alexandria database.

The structure belongs to space group Amm2 (No. 38); the cell edges are 4.368, 5.236 and 11.837 Å and the angles 90.00°, 90.00° and 90.00°. The inequivalent atoms are Ba at (0.000, 0.000, 0.000), Ba at (0.500, 0.000, 0.293), Al at (0.500, 0.000, 0.605) and Pt at (0.000, 0.000, 0.705).

The density of states at the Fermi level comes out at 0.831 states/eV per atom.


no.,E_form (eV per atom)
1,-0.807
2,-0.221
3,-0.589
4,-0.307
5,-0.959
6,-0.358
7,-0.060
8,-0.834
9,-0.609
10,-0.142
11,-0.661
12,-0.543